Entry 1:
{
  "formula": "V2CuNi6",
  "functional": "PBE",
  "state": "optimized geometry",
  "lattice": [[2.4667, 0.0000, -0.0808], [0.0000, 7.3778, 0.0000], [-1.0479, -3.6889, 5.7588]],
  "species": ["V", "V", "Cu", "Ni", "Ni", "Ni", "Ni", "Ni", "Ni"],
  "frac_coords": [[0.1588, 0.6588, 0.3175], [0.8412, 0.3412, 0.6825], [0.0000, 0.0000, 0.0000], [0.1746, 0.3450, 0.3485], [0.8254, 0.9965, 0.6515], [0.8254, 0.6550, 0.6515], [0.5000, 0.3176, 0.0000], [0.1746, 0.0035, 0.3485], [0.5000, 0.6824, 0.0000]],
  "spacegroup": "Immm (71)",
  "formation_energy_ev_per_atom": -0.0435,
  "mass_density_g_cm3": 8.25,
  "de_polymorph_mev_per_atom": 123
}

---

Entry 2:
{
  "formula": "Ta2NbHOs",
  "functional": "PBE",
  "state": "optimized geometry",
  "lattice": [[-2.0421, 0.6693, -3.9504], [-3.0081, -3.1850, 1.0153], [-2.0636, 2.4198, 1.4767]],
  "species": ["H", "Nb", "Os", "Ta", "Ta"],
  "frac_coords": [[0.0000, 0.0000, 0.0000], [0.0000, 0.0000, 0.5000], [0.5000, 0.5000, 0.5000], [0.0000, 0.5000, 0.0000], [0.5000, 0.0000, 0.0000]],
  "spacegroup": "P4/mmm (123)",
  "mass_density_g_cm3": 15.13,
  "de_polymorph_mev_per_atom": 16
}

---

Entry 3:
{
  "formula": "Sn2AuBr",
  "functional": "PBE",
  "state": "optimized geometry",
  "lattice": [[0.0000, 3.6624, 3.6624], [3.6624, 0.0000, 3.6624], [3.6624, 3.6624, 0.0000]],
  "species": ["Au", "Sn", "Sn", "Br"],
  "frac_coords": [[0.5000, 0.5000, 0.5000], [0.2500, 0.2500, 0.2500], [0.7500, 0.7500, 0.7500], [0.0000, 0.0000, 0.0000]],
  "spacegroup": "Fm-3m (225)",
  "mass_density_g_cm3": 8.69,
  "de_polymorph_mev_per_atom": 253,
  "raw_formation_energy_mev_per_atom": 11
}

---

Entry 4:
{
  "formula": "Al2ZnIr",
  "functional": "PBE",
  "state": "optimized geometry",
  "lattice": [[-0.8427, -2.7222, 0.3448], [1.3983, -0.1157, 2.5042], [-6.1852, 2.3661, 3.5631]],
  "species": ["Zn", "Ir", "Al", "Al"],
  "frac_coords": [[0.5000, 0.5000, 0.7272], [0.0000, 0.0000, 0.4892], [0.0000, 0.0000, 0.9998], [0.5000, 0.5000, 0.2838]],
  "spacegroup": "P4mm (99)",
  "formation_energy_ev_per_atom": -0.2514,
  "mass_density_g_cm3": 8.35
}

---

Entry 5:
{
  "formula": "LaEr3Te6",
  "functional": "PBE",
  "state": "optimized geometry",
  "lattice": [[4.4034, 0.0000, 0.0000], [0.0000, 12.4935, -0.0381], [0.0000, -4.2120, 12.1059]],
  "species": ["La", "La", "Er", "Er", "Er", "Er", "Er", "Er", "Te", "Te", "Te", "Te", "Te", "Te", "Te", "Te", "Te", "Te", "Te", "Te"],
  "frac_coords": [[0.7500, 0.0484, 0.6979], [0.2500, 0.9516, 0.3021], [0.7500, 0.4389, 0.8355], [0.2500, 0.5611, 0.1645], [0.7500, 0.6813, 0.5006], [0.2500, 0.3187, 0.4994], [0.7500, 0.1559, 0.0841], [0.2500, 0.8441, 0.9159], [0.7500, 0.4824, 0.6161], [0.2500, 0.5176, 0.3839], [0.7500, 0.9151, 0.0937], [0.2500, 0.0849, 0.9063], [0.7500, 0.3904, 0.0581], [0.2500, 0.6096, 0.9419], [0.7500, 0.7371, 0.2746], [0.2500, 0.2629, 0.7254], [0.7500, 0.1194, 0.4673], [0.2500, 0.8806, 0.5327], [0.7500, 0.8021, 0.7500], [0.2500, 0.1979, 0.2500]],
  "spacegroup": "P2_1/m (11)",
  "mass_density_g_cm3": 7.02,
  "raw_formation_energy_mev_per_atom": -1430
}

---

Entry 6:
{
  "formula": "Ti2V2H",
  "functional": "PBE",
  "state": "optimized geometry",
  "lattice": [[5.0928, 0.0000, 0.0000], [0.0000, 5.0928, 0.0000], [0.0000, 0.0000, 5.1409]],
  "species": ["H", "H", "V", "V", "V", "V", "Ti", "Ti", "Ti", "Ti"],
  "frac_coords": [[0.0000, 0.0000, 0.0000], [0.5000, 0.5000, 0.0000], [0.3495, 0.8495, 0.0000], [0.8495, 0.6505, 0.0000], [0.6505, 0.1505, 0.0000], [0.1505, 0.3495, 0.0000], [0.1658, 0.6659, 0.5000], [0.6659, 0.8342, 0.5000], [0.8342, 0.3342, 0.5000], [0.3342, 0.1658, 0.5000]],
  "spacegroup": "P4/mbm (127)",
  "mass_density_g_cm3": 4.95,
  "de_polymorph_mev_per_atom": 0
}

---

The evaluated DOS(E_F) for the records listed, in turn: 9.1 2.8 2.2 1.7 0.0 10.2 states/eV/cell.